# 1
Below is crystalline YBi2 at its relaxed geometry, with properties calculated at the PBE level.

Cell lengths 4.480, 4.480, 18.628 Å; angles 90.00, 90.00, 90.00 degrees
Space group I4/mmm (No. 139)
Unique sites:
Y 0.000 0.000 0.142 x4
Bi 0.000 0.000 0.318 x4
Bi 0.000 0.500 0.000 x4

Computed properties:
D(E_F): 9.555 states/eV/cell
Energy of formation from the pure elements: -0.470 eV/atom
Size of the total moment: 0.000 μB per formula unit


# 2
Below is crystalline Y3Bi2 at its relaxed geometry, with properties calculated at the PBE level.

Cell lengths 8.617, 11.826, 6.382 Å; angles 90.00, 90.00, 90.00 degrees
Space group Ibam (No. 72)
Unique sites:
Y 0.000 0.000 0.250 x4
Y 0.147 0.344 0.000 x8
Bi 0.209 0.393 0.500 x8

Computed properties:
D(E_F): 15.683 states/eV/cell
Energy of formation from the pure elements: -0.593 eV/atom
Size of the total moment: 0.000 μB per formula unit


# 3
Below is crystalline YBi2 at its relaxed geometry, with properties calculated at the PBE level.

Cell lengths 7.840, 4.325, 10.881 Å; angles 90.00, 90.00, 90.00 degrees
Space group Pnma (No. 62)
Unique sites:
Y 0.219 0.250 0.150 x4
Bi 0.089 0.250 0.825 x4
Bi 0.134 0.250 0.446 x4

Computed properties:
D(E_F): 7.428 states/eV/cell
Energy of formation from the pure elements: -0.554 eV/atom
Size of the total moment: 0.000 μB per formula unit


# 4
Below is crystalline Y5Bi4 at its relaxed geometry, with properties calculated at the PBE level.

Cell lengths 12.255, 12.255, 4.417 Å; angles 90.00, 90.00, 90.00 degrees
Space group I4/m (No. 87)
Unique sites:
Y 0.000 0.000 0.000 x2
Y 0.105 0.212 0.500 x8
Bi 0.081 0.752 0.000 x8

Computed properties:
D(E_F): 8.767 states/eV/cell
Energy of formation from the pure elements: -0.685 eV/atom
Size of the total moment: 0.000 μB per formula unit


# 5
Below is crystalline Y5Bi2 at its relaxed geometry, with properties calculated at the PBE level.

Cell lengths 16.498, 6.532, 8.213 Å; angles 90.00, 96.21, 90.00 degrees
Space group C2/c (No. 15)
Unique sites:
Y 0.000 0.163 0.250 x4
Y 0.099 0.379 0.935 x8
Y 0.226 0.110 0.308 x8
Bi 0.102 0.166 0.586 x8

Computed properties:
D(E_F): 37.481 states/eV/cell
Energy of formation from the pure elements: -0.461 eV/atom
Size of the total moment: 0.011 μB per formula unit


# 6
Below is crystalline Y4Bi3 at its relaxed geometry, with properties calculated at the PBE level.

Cell lengths 9.410, 9.410, 9.410 Å; angles 90.00, 90.00, 90.00 degrees
Space group I-43d (No. 220)
Unique sites:
Y 0.073 0.073 0.073 x16
Bi 0.000 0.250 0.375 x12

Computed properties:
D(E_F): 35.259 states/eV/cell
Energy of formation from the pure elements: -0.768 eV/atom
Size of the total moment: 0.853 μB per formula unit


# 7
Below is crystalline YBi4 at its relaxed geometry, with properties calculated at the PBE level.

Cell lengths 5.871, 5.871, 5.871 Å; angles 90.00, 90.00, 90.00 degrees
Space group Pm-3m (No. 221)
Unique sites:
Y 0.000 0.000 0.000 x1
Bi 0.000 0.000 0.500 x3
Bi 0.500 0.500 0.500 x1

Computed properties:
D(E_F): 5.629 states/eV/cell
Energy of formation from the pure elements: 0.411 eV/atom
Size of the total moment: 0.000 μB per formula unit


# 8
Below is crystalline Y5Bi at its relaxed geometry, with properties calculated at the PBE level.

Cell lengths 4.874, 15.161, 4.956 Å; angles 90.00, 90.00, 90.00 degrees
Space group Cmmm (No. 65)
Unique sites:
Y 0.000 0.000 0.000 x2
Y 0.000 0.163 0.500 x4
Y 0.000 0.330 0.000 x4
Bi 0.000 0.500 0.500 x2

Computed properties:
D(E_F): 15.644 states/eV/cell
Energy of formation from the pure elements: -0.231 eV/atom
Size of the total moment: 0.189 μB per formula unit


# 9
Below is crystalline Y2Bi at its relaxed geometry, with properties calculated at the PBE level.

Cell lengths 8.333, 4.389, 9.916 Å; angles 90.00, 90.00, 90.00 degrees
Space group Pnma (No. 62)
Unique sites:
Y 0.043 0.250 0.166 x4
Y 0.131 0.250 0.566 x4
Bi 0.244 0.250 0.863 x4

Computed properties:
D(E_F): 14.530 states/eV/cell
Energy of formation from the pure elements: -0.578 eV/atom
Size of the total moment: 0.003 μB per formula unit


# 10
Below is crystalline Y2ZnBi2 at its relaxed geometry, with properties calculated at the PBE level.

Cell lengths 8.233, 8.233, 4.205 Å; angles 90.00, 90.00, 90.00 degrees
Space group P4/mbm (No. 127)
Unique sites:
Y 0.155 0.345 0.000 x4
Zn 0.000 0.000 0.500 x2
Bi 0.153 0.653 0.500 x4

Computed properties:
D(E_F): 2.397 states/eV/cell
Energy relative to the lowest polymorph listed for this composition: 43 meV per atom
Energy of formation from the pure elements: -0.453 eV/atom
Size of the total moment: 0.000 μB per formula unit


# 11
Below is crystalline Y2ZnBi2 at its relaxed geometry, with properties calculated at the PBE level.

Cell lengths 8.317, 8.317, 4.205 Å; angles 90.00, 90.00, 90.00 degrees
Space group P4/mbm (No. 127)
Unique sites:
Y 0.150 0.350 0.000 x4
Zn 0.000 0.000 0.000 x2
Bi 0.158 0.658 0.500 x4

Computed properties:
D(E_F): 0.903 states/eV/cell
Energy relative to the lowest polymorph listed for this composition: 0 meV per atom
Energy of formation from the pure elements: -0.496 eV/atom
Size of the total moment: 0.000 μB per formula unit


# 12
Below is crystalline YZn2Bi at its relaxed geometry, with properties calculated at the PBE level.

Cell lengths 4.463, 4.463, 4.560 Å; angles 90.00, 90.00, 90.00 degrees
Space group P4/mmm (No. 123)
Unique sites:
Y 0.000 0.000 0.000 x1
Zn 0.000 0.500 0.500 x2
Bi 0.500 0.500 0.000 x1

Computed properties:
D(E_F): 1.831 states/eV/cell
Energy of formation from the pure elements: -0.317 eV/atom
Size of the total moment: 0.000 μB per formula unit